(1)
The following is a DFT calculation (GGA-PBE) of crystalline PmInRu2 at its relaxed geometry.

Cell and atoms, written as POSCAR:
```
PmInRu2
1.0
4.660 0.000 0.000
0.000 4.660 0.000
0.000 0.000 3.478
Pm In Ru
1 1 2
Cartesian
0.000 0.000 0.000
2.330 2.330 0.000
0.000 2.330 1.739
2.330 0.000 1.739
```

**Calculated formation energy**: -0.05 eV per atom
**Space-group type**: No. 123
**Density of states at the Fermi level**: 6.9 states/eV/f.u.


(2)
The following is a DFT calculation (GGA-PBE) of crystalline ZnCo3W at its relaxed geometry.

Cell and atoms, written as POSCAR:
```
ZnCo3W
1.0
4.429 0.000 0.000
0.000 4.429 0.000
0.000 0.000 4.429
Zn Co W
1 3 1
Cartesian
0.000 0.000 0.000
0.000 2.215 2.215
2.215 0.000 2.215
2.215 2.215 0.000
2.215 2.215 2.215
```

**Calculated formation energy**: 1.46 eV per atom
**Energy relative to the lowest polymorph listed for this composition**: 0.018 eV per atom
**Space-group type**: No. 221
**Density of states at the Fermi level**: 5.0 states/eV/f.u.


(3)
The following is a DFT calculation (GGA-PBE) of crystalline Sm2TmSn3 at its relaxed geometry.

Cell and atoms, written as POSCAR:
```
Sm2TmSn3
1.0
-2.587 3.139 5.517
2.587 -3.139 5.517
2.587 3.139 -5.517
Sm Tm Sn
2 1 3
Cartesian
0.000 0.000 1.898
0.000 0.000 9.137
0.000 0.000 5.517
2.587 0.000 0.000
2.587 0.000 3.827
0.000 3.139 1.690
```

**Calculated formation energy**: -0.56 eV per atom
**Space-group type**: No. 71
**Density of states at the Fermi level**: 4.8 states/eV/f.u.


(4)
The following is a DFT calculation (GGA-PBE) of crystalline Al2GaO5 at its relaxed geometry.

Cell and atoms, written as POSCAR:
```
Al2GaO5
1.0
1.794 -4.791 0.000
1.794 4.791 0.000
0.000 0.000 9.787
Al Ga O
4 2 10
Cartesian
1.794 3.503 5.514
1.794 3.503 9.166
1.794 -3.503 0.621
1.794 -3.503 4.273
1.794 3.013 2.447
1.794 -3.013 7.340
1.794 4.297 1.084
1.794 4.297 3.809
1.794 2.631 7.340
1.794 1.731 0.630
1.794 1.731 4.263
1.794 -1.731 5.524
1.794 -1.731 9.156
1.794 -2.631 2.447
1.794 -4.297 5.978
1.794 -4.297 8.702
```

**Energy relative to the lowest polymorph listed for this composition**: 0.100 eV per atom
**Space-group type**: No. 63
**Density of states at the Fermi level**: 4.5 states/eV/f.u.
**ΔE_f (raw)**: -2.287 eV/atom


(5)
The following is a DFT calculation (GGA-PBE) of crystalline NaNd4Ho3Se8 at its relaxed geometry.

Cell and atoms, written as POSCAR:
```
NaNd4Ho3Se8
1.0
4.138 2.389 6.850
-4.138 2.389 6.850
0.000 -4.778 6.850
Na Nd Ho Se
1 4 3 8
Cartesian
0.000 0.000 0.000
-4.138 0.000 10.275
-2.069 1.194 3.425
2.069 1.194 3.425
0.000 0.000 10.275
-2.069 -1.194 6.850
-2.069 1.194 13.700
0.000 2.389 6.850
0.000 -2.379 8.459
-2.060 1.189 8.459
0.000 0.000 5.246
-2.060 -1.189 12.091
2.060 1.189 8.459
0.000 0.000 15.304
2.060 -1.189 12.091
0.000 2.379 12.091
```

**Space-group type**: No. 166
**Density of states at the Fermi level**: 8.0 states/eV/f.u.
**ΔE_f (raw)**: -1.765 eV/atom


(6)
The following is a DFT calculation (GGA-PBE) of crystalline In2TcBMo at its relaxed geometry.

Cell and atoms, written as POSCAR:
```
In2TcBMo
1.0
4.618 0.000 0.000
0.000 4.618 0.000
0.000 0.000 4.010
In Tc B Mo
2 1 1 1
Cartesian
0.000 2.309 0.000
2.309 0.000 0.000
0.000 0.000 2.005
0.000 0.000 0.000
2.309 2.309 2.005
```

**Calculated formation energy**: 0.89 eV per atom
**Space-group type**: No. 123
**Density of states at the Fermi level**: 6.9 states/eV/f.u.


(7)
The following is a DFT calculation (GGA-PBE) of crystalline ReRhBr2 at its relaxed geometry.

Cell and atoms, written as POSCAR:
```
ReRhBr2
1.0
-1.528 2.212 7.166
1.528 -2.212 7.166
1.528 2.212 -7.166
Re Rh Br
1 1 2
Cartesian
0.000 0.000 0.000
0.000 0.000 7.166
1.528 0.000 2.065
0.000 2.212 5.101
```

**Energy relative to the lowest polymorph listed for this composition**: 0.310 eV per atom
**Space-group type**: No. 71
**Density of states at the Fermi level**: 3.8 states/eV/f.u.
**ΔE_f (raw)**: 0.567 eV/atom